No. 1
4
Lattice="5.2817 0.0000 0.0000 2.6409 4.5741 0.0000 2.6409 1.5247 4.3125" Properties=species:S:1:pos:R:3 comment="CeEuZnAg PBE-GGA optimized geometry" formation_enthalpy_0k_ev_per_atom=-0.166 n_ef_per_ev_fu=9.35 pbc="T T T"
Ce 5.2817 3.0494 2.1562
Ag 2.6409 1.5247 1.0781
Zn 7.9226 4.5741 3.2344
Eu 0.0000 0.0000 0.0000

No. 2
10
Lattice="-1.5625 -7.0401 4.4986 8.2449 -2.0389 -0.3271 -2.5074 7.1975 2.3634" Properties=species:S:1:pos:R:3 comment="In2S2Br PBE-GGA optimized geometry" de_polymorph_ev_per_fu=0.41 n_ef_per_ev_fu=4.10 pbc="T T T"
S 1.3099 -3.1818 3.5051
S 5.8706 -4.3095 3.3241
S 0.3168 0.5499 4.5586
S 1.0150 3.6958 2.5483
Br 4.6343 0.6121 2.5674
Br 0.0949 0.3025 0.5064
In 2.3698 1.7771 3.6042
In -0.1915 -1.2199 2.7780
In -0.8289 -4.0921 4.6133
In -0.9939 2.6089 3.7376

No. 3
8
Lattice="-4.9637 0.1483 0.4318 0.4008 -0.8412 4.8968 -2.0636 4.5481 3.4873" Properties=species:S:1:pos:R:3 comment="BAs2O PBE-GGA optimized geometry" de_polymorph_ev_per_fu=0.00 n_ef_per_ev_fu=3.49 pbc="T T T"
B -2.2814 -0.3465 2.6643
B -1.9721 1.6802 5.5242
As -0.9942 0.6330 3.9957
As -3.2501 3.1328 4.7205
As -3.4598 1.1213 1.7444
As -5.5490 2.8231 7.1711
O 0.0000 0.0000 0.0000
O -4.6544 2.1749 3.2917

No. 4
3
Lattice="-1.2789 3.2145 -0.8885 -4.1612 -0.8808 2.8026 4.0752 2.2058 2.1150" Properties=species:S:1:pos:R:3 comment="CePrAg PBE-GGA optimized geometry" de_polymorph_ev_per_fu=0.38 formation_enthalpy_0k_ev_per_atom=0.052 n_ef_per_ev_fu=5.88 pbc="T T T"
Ce -0.0170 0.0428 -0.0118
Pr -2.2611 2.2730 1.9861
Ag 0.9132 2.2238 2.0549

No. 5
12
Lattice="-2.1199 4.5239 -3.0241 2.0627 -1.4130 -3.5598 -7.3881 -4.9978 -2.2973" Properties=species:S:1:pos:R:3 comment="LaIr2 PBE-GGA optimized geometry" formation_enthalpy_0k_ev_per_atom=-0.240 n_ef_per_ev_fu=2.73 pbc="T T T"
Ir -4.8540 -3.2687 -5.5021
Ir -3.8547 -2.8101 -2.4472
Ir -3.5907 0.9232 -6.4340
Ir -1.7418 -1.0225 -1.9324
Ir -2.5914 1.3818 -3.3791
Ir -5.7035 -0.8644 -6.9488
Ir -7.6116 -2.3725 -4.7978
Ir 0.1663 0.4856 -4.0834
La -5.2494 -0.6748 -4.1029
La -6.2879 -4.3563 -3.2434
La -1.1575 2.4694 -5.6378
La -2.1959 -1.2121 -4.7782

No. 6
24
Lattice="-8.3584 -0.9056 4.9818 -7.9990 -3.4145 -4.4563 -3.4220 -8.8781 2.2297" Properties=species:S:1:pos:R:3 comment="Pm4GaIr PBE-GGA optimized geometry" de_polymorph_ev_per_fu=0.00 formation_enthalpy_0k_ev_per_atom=-0.497 n_ef_per_ev_fu=4.20 pbc="T T T"
Ga -3.3567 -2.2398 0.4676
Ga -6.0412 -2.5307 2.0676
Ga -5.9258 -3.3365 -0.9637
Ga -4.4558 -5.0913 1.1837
Pm -14.2369 -7.6762 3.4733
Pm -13.9064 -5.1838 0.8484
Pm -15.4323 -12.1210 0.6595
Pm -17.3592 -9.0091 1.7338
Pm -12.3100 -10.7882 2.3990
Pm -8.7155 -4.6213 -2.2455
Pm -10.8407 -10.1350 -0.8608
Pm -11.1402 -6.6462 -0.7290
Pm -11.2874 -5.6189 3.1353
Pm -8.9387 -3.0632 3.6160
Pm -15.5726 -11.1417 4.3436
Pm -11.0640 -8.5769 5.0007
Pm -14.0966 -8.6556 -0.2108
Pm -9.2662 -8.8831 2.0085
Pm -5.8730 -8.0144 1.9068
Pm -7.8651 -5.2481 1.0956
Ir -8.4143 -7.6338 -0.4779
Ir -8.5697 -6.5494 3.6014
Ir -10.5479 -4.1880 0.7116
Ir -12.0270 -8.0252 1.6753

Please write out number 4 again, unchanged.
3
Lattice="-1.2789 3.2145 -0.8885 -4.1612 -0.8808 2.8026 4.0752 2.2058 2.1150" Properties=species:S:1:pos:R:3 comment="CePrAg PBE-GGA optimized geometry" de_polymorph_ev_per_fu=0.38 formation_enthalpy_0k_ev_per_atom=0.052 n_ef_per_ev_fu=5.88 pbc="T T T"
Ce -0.0170 0.0428 -0.0118
Pr -2.2611 2.2730 1.9861
Ag 0.9132 2.2238 2.0549

Repeat the fifth record exactly.
12
Lattice="-2.1199 4.5239 -3.0241 2.0627 -1.4130 -3.5598 -7.3881 -4.9978 -2.2973" Properties=species:S:1:pos:R:3 comment="LaIr2 PBE-GGA optimized geometry" formation_enthalpy_0k_ev_per_atom=-0.240 n_ef_per_ev_fu=2.73 pbc="T T T"
Ir -4.8540 -3.2687 -5.5021
Ir -3.8547 -2.8101 -2.4472
Ir -3.5907 0.9232 -6.4340
Ir -1.7418 -1.0225 -1.9324
Ir -2.5914 1.3818 -3.3791
Ir -5.7035 -0.8644 -6.9488
Ir -7.6116 -2.3725 -4.7978
Ir 0.1663 0.4856 -4.0834
La -5.2494 -0.6748 -4.1029
La -6.2879 -4.3563 -3.2434
La -1.1575 2.4694 -5.6378
La -2.1959 -1.2121 -4.7782